This record from Alexandria describes a relaxed structure of HoTmThSc3. The functional is PBE.

POSCAR file:
```
HoTmThSc3
1.0
-2.712 -2.101 -0.112
3.024 -3.423 -9.017
4.177 -5.772 7.140
Ho Sc Th Tm
2 6 2 2
Cartesian
0.919 -2.633 0.846
3.571 -8.662 -2.835
1.385 -6.011 0.350
3.105 -5.285 -2.339
3.727 -6.516 5.699
-0.001 -4.095 -2.041
0.762 -4.779 -7.688
4.491 -7.201 0.052
2.741 -7.892 2.811
1.749 -3.403 -4.800
2.181 -6.740 -5.259
2.309 -4.555 3.270
```

E_form (eV/atom): 0.048